# YTlNiF2

Crystalline YTlNiF2 at its relaxed geometry (PBE with a Hubbard U, Alexandria).

abc: 4.5569 4.5569 5.0177
angles: 90.00 90.00 90.00
Closest atoms and distances in Å follow each position.
Space group P4/mmm (No. 123)
Symmetry-distinct sites (fractional):
Y: 0.0000 0.0000 0.0000 [1 per cell]  4 Ni 3.22, 8 F 3.39
Tl: 0.5000 0.5000 0.5000 [1 per cell]  4 F 2.28, 2 Ni 2.51
Ni: 0.5000 0.5000 0.0000 [1 per cell]  2 Tl 2.51
F: 0.0000 0.5000 0.5000 [2 per cell]  2 Tl 2.28

Values from the calculation:
uncorrected energy	-3.62	eV/atom
magnetic moment	0.000	μB/atom
N(E_F)	1.97	states/eV per cell